Computed, not measured: a relaxed Re2MoPO crystal at the GGA+U level of DFT.

The calculation puts the total energy at -38.4 eV for the cell shown. Its crystal system is tetragonal. Its density of states at the Fermi level is 4.5 states/eV/cell. As for the total moment: 0.4151 μB/atom.

It has space group P4/mmm (No. 123), with a = 3.917 Å, b = 3.917 Å, c = 4.872 Å, α = 90.00°, β = 90.00° and γ = 90.00°. The inequivalent atoms are Re at (0.000, 0.500, 0.000), Mo at (0.000, 0.000, 0.500), P at (0.500, 0.500, 0.500) and O at (0.500, 0.500, 0.000).